(1)
Si3Ru4: optimized geometry, PBE-GGA.

Summary:
raw formation energy: -0.548 eV per atom
SG: Pnma (62)
V: 13.0 A^3/atom
theoretical density: 8.89 g/cm³
polymorph energy (0 for the lowest one): 0 meV/atom

a = 5.2398 Å, b = 4.0290 Å, c = 17.2975 Å
α = 90.00°, β = 90.00°, γ = 90.00°
Last column: nearest neighbours and their distance in Å.
Fractional coordinates of all 28 atoms:
Si (0.0016, 0.2500, 0.1034)  8 Ru 2.41-2.66
Si (0.1181, 0.7500, 0.3083)  6 Ru 2.46-2.55
Si (0.1480, 0.2500, 0.5337)  7 Ru 2.46-2.54
Si (0.3520, 0.7500, 0.0337)  7 Ru 2.46-2.54
Si (0.3819, 0.2500, 0.8083)  6 Ru 2.46-2.55
Si (0.4984, 0.7500, 0.6034)  8 Ru 2.41-2.66
Si (0.5016, 0.2500, 0.3966)  8 Ru 2.41-2.66
Si (0.6181, 0.7500, 0.1917)  6 Ru 2.46-2.55
Si (0.6480, 0.2500, 0.9663)  7 Ru 2.46-2.54
Si (0.8520, 0.7500, 0.4663)  7 Ru 2.46-2.54
Si (0.8819, 0.2500, 0.6917)  6 Ru 2.46-2.55
Si (0.9984, 0.7500, 0.8966)  8 Ru 2.41-2.66
Ru (0.0098, 0.2500, 0.3928)  7 Si 2.52-2.66
Ru (0.1544, 0.7500, 0.7646)  3 Si 2.43-2.46, 2 Ru 2.67
Ru (0.1586, 0.7500, 0.1633)  5 Si 2.41-2.52
Ru (0.1739, 0.2500, 0.9714)  6 Si 2.46-2.56
Ru (0.3261, 0.7500, 0.4714)  6 Si 2.46-2.56
Ru (0.3414, 0.2500, 0.6633)  5 Si 2.41-2.52
Ru (0.3456, 0.2500, 0.2646)  3 Si 2.43-2.46, 2 Ru 2.67
Ru (0.4902, 0.7500, 0.8928)  7 Si 2.52-2.66
Ru (0.5098, 0.2500, 0.1072)  7 Si 2.52-2.66
Ru (0.6544, 0.7500, 0.7354)  3 Si 2.43-2.46, 2 Ru 2.67
Ru (0.6586, 0.7500, 0.3367)  5 Si 2.41-2.52
Ru (0.6739, 0.2500, 0.5286)  6 Si 2.46-2.56
Ru (0.8261, 0.7500, 0.0286)  6 Si 2.46-2.56
Ru (0.8414, 0.2500, 0.8367)  5 Si 2.41-2.52
Ru (0.8456, 0.2500, 0.2354)  3 Si 2.43-2.46, 2 Ru 2.67
Ru (0.9902, 0.7500, 0.6072)  7 Si 2.52-2.66

---

(2)
KMn2Cd2: optimized geometry, PBE-GGA.

Summary:
SG: P4/mbm (127)
formation energy from the elements: 0.386 eV per atom
V: 22.1 A^3/atom
theoretical density: 5.61 g/cm³
polymorph energy (0 for the lowest one): 0 meV/atom

a = 8.6642 Å, b = 8.6642 Å, c = 2.9463 Å
α = 90.00°, β = 90.00°, γ = 90.00°
Last column: nearest neighbours and their distance in Å.
Fractional coordinates of all 10 atoms:
K (0.0000, 0.0000, 0.0000)  2 K 2.95
K (0.5000, 0.5000, 0.0000)  2 K 2.95
Mn (0.1155, 0.3845, 0.0000)  3 Mn 2.83-2.95, 6 Cd 2.94-2.98
Mn (0.3845, 0.8845, 0.0000)  3 Mn 2.83-2.95, 6 Cd 2.94-2.98
Mn (0.6155, 0.1155, 0.0000)  3 Mn 2.83-2.95, 6 Cd 2.94-2.98
Mn (0.8845, 0.6155, 0.0000)  3 Mn 2.83-2.95, 6 Cd 2.94-2.98
Cd (0.1767, 0.6767, 0.5000)  6 Mn 2.94-2.98, 2 Cd 2.95
Cd (0.3233, 0.1767, 0.5000)  6 Mn 2.94-2.98, 2 Cd 2.95
Cd (0.6767, 0.8233, 0.5000)  6 Mn 2.94-2.98, 2 Cd 2.95
Cd (0.8233, 0.3233, 0.5000)  6 Mn 2.94-2.98, 2 Cd 2.95

---

(3)
Tb3Sm4Tm: optimized geometry, PBE-GGA.

Summary:
SG: Pmn2_1 (31)
formation energy from the elements: 0.022 eV per atom
V: 33.0 A^3/atom
theoretical density: 7.84 g/cm³
polymorph energy (0 for the lowest one): 0 meV/atom

a = 11.4688 Å, b = 7.3037 Å, c = 6.3062 Å
α = 90.00°, β = 90.00°, γ = 90.00°
Last column: nearest neighbours and their distance in Å.
Fractional coordinates of all 16 atoms:
Tb (0.0000, 0.1236, 0.0000)  4 Tb 3.55, 6 Sm 3.57-3.67, 2 Tm 3.63
Tb (0.2499, 0.1227, 0.3325)  2 Tm 3.54-3.55, 4 Tb 3.55-3.63, 6 Sm 3.56-3.69
Tb (0.2501, 0.8773, 0.8325)  2 Tm 3.54-3.55, 4 Tb 3.55-3.63, 6 Sm 3.56-3.69
Tb (0.5000, 0.8764, 0.5000)  4 Tb 3.55, 6 Sm 3.57-3.67, 2 Tm 3.63
Tb (0.7501, 0.1227, 0.3325)  2 Tm 3.54-3.55, 4 Tb 3.55-3.63, 6 Sm 3.56-3.69
Tb (0.7499, 0.8773, 0.8325)  2 Tm 3.54-3.55, 4 Tb 3.55-3.63, 6 Sm 3.56-3.69
Sm (0.0000, 0.3737, 0.5018)  6 Sm 3.56-3.67, 4 Tb 3.57-3.65, 2 Tm 3.62-3.68
Sm (0.0000, 0.6264, 0.9983)  6 Sm 3.55-3.67, 4 Tb 3.56-3.67, 2 Tm 3.64-3.66
Sm (0.2484, 0.6273, 0.3339)  1 Tm 3.54, 6 Sm 3.55-3.66, 5 Tb 3.57-3.69
Sm (0.2516, 0.3727, 0.8339)  1 Tm 3.54, 6 Sm 3.55-3.66, 5 Tb 3.57-3.69
Sm (0.5000, 0.3736, 0.4983)  6 Sm 3.55-3.67, 4 Tb 3.56-3.67, 2 Tm 3.64-3.66
Sm (0.5000, 0.6263, 0.0018)  6 Sm 3.56-3.67, 4 Tb 3.57-3.65, 2 Tm 3.62-3.68
Sm (0.7484, 0.3727, 0.8339)  1 Tm 3.54, 6 Sm 3.55-3.66, 5 Tb 3.57-3.69
Sm (0.7516, 0.6273, 0.3339)  1 Tm 3.54, 6 Sm 3.55-3.66, 5 Tb 3.57-3.69
Tm (0.0000, 0.8778, 0.4997)  6 Tb 3.54-3.63, 6 Sm 3.54-3.68
Tm (0.5000, 0.1222, 0.9997)  6 Tb 3.54-3.63, 6 Sm 3.54-3.68

---

(4)
KFe2Ag2: optimized geometry, PBE-GGA.

Summary:
SG: P4/mbm (127)
formation energy from the elements: 0.550 eV per atom
V: 19.2 A^3/atom
theoretical density: 6.35 g/cm³
polymorph energy (0 for the lowest one): 0 meV/atom

a = 8.3799 Å, b = 8.3799 Å, c = 2.7298 Å
α = 90.00°, β = 90.00°, γ = 90.00°
Last column: nearest neighbours and their distance in Å.
Fractional coordinates of all 10 atoms:
K (0.0000, 0.0000, 0.0000)  2 K 2.73
K (0.5000, 0.5000, 0.0000)  2 K 2.73
Fe (0.0997, 0.4003, 0.5000)  1 Fe 2.36
Fe (0.4003, 0.9003, 0.5000)  1 Fe 2.36
Fe (0.5997, 0.0997, 0.5000)  1 Fe 2.36
Fe (0.9003, 0.5997, 0.5000)  1 Fe 2.36
Ag (0.1856, 0.6856, 0.0000)  2 Ag 2.73, 6 Fe 2.85-2.89
Ag (0.3144, 0.1856, 0.0000)  2 Ag 2.73, 6 Fe 2.85-2.89
Ag (0.6856, 0.8144, 0.0000)  2 Ag 2.73, 6 Fe 2.85-2.89
Ag (0.8144, 0.3144, 0.0000)  2 Ag 2.73, 6 Fe 2.85-2.89

---

(5)
TbPr5Ag6: optimized geometry, PBE-GGA.

Summary:
SG: Cmmm (65)
formation energy from the elements: -0.253 eV per atom
V: 26.7 A^3/atom
theoretical density: 7.84 g/cm³

a = 8.4642 Å, b = 8.4642 Å, c = 7.4536 Å
α = 90.00°, β = 90.00°, γ = 143.18°
Last column: nearest neighbours and their distance in Å.
Fractional coordinates of all 12 atoms:
Tb (0.0000, 0.0000, 0.0000)  8 Ag 3.18-3.22
Pr (0.0000, 0.0000, 0.5000)  8 Ag 3.23-3.30
Pr (0.3317, 0.6683, 0.5000)  8 Ag 3.29-3.33
Pr (0.3341, 0.6659, 0.0000)  8 Ag 3.21-3.30
Pr (0.6659, 0.3341, 0.0000)  8 Ag 3.21-3.30
Pr (0.6683, 0.3317, 0.5000)  8 Ag 3.29-3.33
Ag (0.1623, 0.8377, 0.2439)  1 Tb 3.18, 7 Pr 3.23-3.32
Ag (0.1623, 0.8377, 0.7561)  1 Tb 3.18, 7 Pr 3.23-3.32
Ag (0.5000, 0.5000, 0.2401)  6 Pr 3.21-3.33, 2 Tb 3.22, 1 Ag 3.58
Ag (0.5000, 0.5000, 0.7599)  6 Pr 3.21-3.33, 2 Tb 3.22, 1 Ag 3.58
Ag (0.8377, 0.1623, 0.2439)  1 Tb 3.18, 7 Pr 3.23-3.32
Ag (0.8377, 0.1623, 0.7561)  1 Tb 3.18, 7 Pr 3.23-3.32

---

(6)
KLi2Tl: optimized geometry, PBE-GGA.

Summary:
SG: R-3m (166)
formation energy from the elements: 0.050 eV per atom
V: 32.0 A^3/atom
theoretical density: 3.34 g/cm³
polymorph energy (0 for the lowest one): 104 meV/atom

a = 9.5978 Å, b = 9.5978 Å, c = 9.5978 Å
α = 23.95°, β = 23.95°, γ = 23.95°
Last column: nearest neighbours and their distance in Å.
Fractional coordinates of all 4 atoms:
K (0.0000, 0.0000, 0.0000)  6 Li 3.74, 6 K 3.98
Li (0.2278, 0.2278, 0.2278)  3 Tl 2.87
Li (0.7722, 0.7722, 0.7722)  3 Tl 2.87
Tl (0.5000, 0.5000, 0.5000)  6 Li 2.87

---

(7)
SmTm2Tl: optimized geometry, PBE-GGA.

Summary:
SG: P4/mmm (123)
formation energy from the elements: -0.169 eV per atom
V: 29.5 A^3/atom
theoretical density: 9.76 g/cm³
polymorph energy (0 for the lowest one): 2 meV/atom

a = 3.6168 Å, b = 3.6168 Å, c = 9.0126 Å
α = 90.00°, β = 90.00°, γ = 90.00°
Last column: nearest neighbours and their distance in Å.
Fractional coordinates of all 4 atoms:
Sm (0.0000, 0.0000, 0.0000)  8 Tm 3.56, 4 Sm 3.62
Tm (0.5000, 0.5000, 0.2743)  4 Tl 3.27, 4 Sm 3.56, 4 Tm 3.62
Tm (0.5000, 0.5000, 0.7257)  4 Tl 3.27, 4 Sm 3.56, 4 Tm 3.62
Tl (0.0000, 0.0000, 0.5000)  8 Tm 3.27, 4 Tl 3.62

---

(8)
TiTl3Re: optimized geometry, PBE-GGA.

Summary:
SG: Pm-3m (221)
formation energy from the elements: 1.294 eV per atom
V: 29.6 A^3/atom
theoretical density: 9.50 g/cm³
polymorph energy (0 for the lowest one): 0 meV/atom

a = 5.2914 Å, b = 5.2914 Å, c = 5.2914 Å
α = 90.00°, β = 90.00°, γ = 90.00°
Last column: nearest neighbours and their distance in Å.
Fractional coordinates of all 5 atoms:
Ti (0.0000, 0.0000, 0.0000)  12 Tl 3.74
Tl (0.0000, 0.5000, 0.5000)  2 Re 2.65
Tl (0.5000, 0.0000, 0.5000)  2 Re 2.65
Tl (0.5000, 0.5000, 0.0000)  2 Re 2.65
Re (0.5000, 0.5000, 0.5000)  6 Tl 2.65

---

(9)
ZrCdPb2: optimized geometry, PBE-GGA.

Summary:
SG: I-42d (122)
formation energy from the elements: 0.282 eV per atom
V: 27.0 A^3/atom
theoretical density: 9.52 g/cm³

a = 6.6273 Å, b = 6.6273 Å, c = 6.6273 Å
α = 103.52°, β = 103.52°, γ = 122.16°
Last column: nearest neighbours and their distance in Å.
Fractional coordinates of all 8 atoms:
Zr (0.0000, 0.0000, 0.0000)  4 Pb 3.07, 2 Cd 3.20
Zr (0.7500, 0.2500, 0.5000)  4 Pb 3.07, 2 Cd 3.20
Cd (0.2500, 0.7500, 0.5000)  4 Pb 2.95, 2 Zr 3.20
Cd (0.5000, 0.5000, 0.0000)  4 Pb 2.95, 2 Zr 3.20
Pb (0.1349, 0.6250, 0.0099)  2 Cd 2.95, 2 Zr 3.07, 2 Pb 3.21
Pb (0.3750, 0.3849, 0.5099)  2 Cd 2.95, 2 Zr 3.07, 2 Pb 3.21
Pb (0.6151, 0.1250, 0.9901)  2 Cd 2.95, 2 Zr 3.07, 2 Pb 3.21
Pb (0.8750, 0.8651, 0.4901)  2 Cd 2.95, 2 Zr 3.07, 2 Pb 3.21

---

(10)
VH2W: optimized geometry, PBE-GGA.

Summary:
SG: Fm-3m (225)
V: 8.9 A^3/atom
theoretical density: 11.10 g/cm³
polymorph energy (0 for the lowest one): 653 meV/atom

a = 3.6865 Å, b = 3.6865 Å, c = 3.6865 Å
α = 60.00°, β = 60.00°, γ = 60.00°
Last column: nearest neighbours and their distance in Å.
Fractional coordinates of all 4 atoms:
V (0.0000, 0.0000, 0.0000)  8 H 2.26
H (0.2500, 0.2500, 0.2500)  4 W 2.26, 4 V 2.26
H (0.7500, 0.7500, 0.7500)  4 W 2.26, 4 V 2.26
W (0.5000, 0.5000, 0.5000)  8 H 2.26

---

(11)
LaRu2C: optimized geometry, PBE-GGA.

Summary:
SG: I-42d (122)
formation energy from the elements: 0.209 eV per atom
V: 19.0 A^3/atom
theoretical density: 7.70 g/cm³

a = 6.0101 Å, b = 6.0101 Å, c = 6.0101 Å
α = 120.51°, β = 120.51°, γ = 89.11°
Last column: nearest neighbours and their distance in Å.
Fractional coordinates of all 8 atoms:
La (0.0000, 0.0000, 0.0000)  4 Ru 3.06
La (0.7500, 0.2500, 0.5000)  4 Ru 3.06
Ru (0.2861, 0.6250, 0.1611)  2 C 1.91
Ru (0.3750, 0.5361, 0.6611)  2 C 1.91
Ru (0.4639, 0.1250, 0.8389)  2 C 1.91
Ru (0.8750, 0.7139, 0.3389)  2 C 1.91
C (0.2500, 0.7500, 0.5000)  4 Ru 1.91
C (0.5000, 0.5000, 0.0000)  4 Ru 1.91